<A>
Pr2ZrZn: optimized geometry, PBE.

- Mass density: 6.49 g cm⁻³
- Magnetic moment: 0.000 μB per formula unit

a = 3.344 Å, b = 3.344 Å, c = 11.743 Å
α = 81.81°, β = 81.81°, γ = 60.00°
Fractional coordinates of all 4 atoms:
Zr1 0.000 0.000 0.000
Pr1 0.906 0.906 0.283
Pr2 0.094 0.094 0.717
Zn1 0.500 0.500 0.500

<B>
Pr2ZrZn: optimized geometry, PBE.

- Mass density: 6.66 g cm⁻³
- Magnetic moment: 0.000 μB per formula unit

a = 3.513 Å, b = 3.513 Å, c = 8.857 Å
α = 90.00°, β = 90.00°, γ = 90.00°
Fractional coordinates of all 4 atoms:
Pr1 0.000 0.000 0.230
Pr2 0.000 0.000 0.770
Zr1 0.500 0.500 0.500
Zn1 0.500 0.500 0.000

The most stable of them is <B>.

<A>
PrZr2: optimized geometry, PBE.

- Mass density: 6.43 g cm⁻³
- Magnetic moment: 2.223 μB per formula unit

a = 6.182 Å, b = 6.182 Å, c = 6.182 Å
α = 60.00°, β = 60.00°, γ = 60.00°
Fractional coordinates of all 6 atoms:
Pr1 0.250 0.250 0.250
Pr2 0.000 0.000 0.000
Zr1 0.625 0.625 0.125
Zr2 0.625 0.125 0.625
Zr3 0.625 0.625 0.625
Zr4 0.125 0.625 0.625

<B>
PrZr2: optimized geometry, PBE.

- Mass density: 6.65 g cm⁻³
- Magnetic moment: 0.000 μB per formula unit

a = 3.268 Å, b = 3.268 Å, c = 7.909 Å
α = 101.92°, β = 101.92°, γ = 90.00°
Fractional coordinates of all 3 atoms:
Zr1 0.320 0.320 0.641
Zr2 0.680 0.680 0.359
Pr1 0.000 0.000 0.000

The most stable of them is <B>.